No. 1
Material: Cs2CoCl4F2
Method: DFT, GGA+U
State: optimized geometry

abc: 13.0034 5.9600 6.7148
angles: 90.00 104.62 90.00
Last column: nearest neighbours and their distance in Å.
Space group C2/m (No. 12)
Unique sites:
Cs (0.1636, 0.0000, 0.2792) x4  3 F 3.12-3.16
Co (0.0000, 0.5000, 0.5000) x2  2 F 1.87
Cl (0.0856, 0.2517, 0.7434) x8  1 Co 2.28
F (0.1187, 0.5000, 0.3906) x4  1 Co 1.87

energy = -3.454 eV/atom

No. 2
Material: Cs2CoCl2F4
Method: DFT, GGA+U
State: optimized geometry

abc: 10.7985 6.9105 6.1121
angles: 90.00 93.28 90.00
Last column: nearest neighbours and their distance in Å.
Space group C2/m (No. 12)
Unique sites:
Cs (0.1646, 0.0000, 0.2185) x4  6 F 3.10-3.43
Co (0.0000, 0.5000, 0.0000) x2  4 F 1.81
Cl (0.1543, 0.5000, 0.2683) x4  1 Co 2.27
F (0.0811, 0.3120, 0.8586) x8  1 Co 1.81

energy = -3.869 eV/atom

No. 3
Material: CsCoCl2F
Method: DFT, GGA+U
State: optimized geometry

abc: 5.2664 5.2664 4.0832
angles: 90.00 90.00 90.00
Last column: nearest neighbours and their distance in Å.
Space group P4/mmm (No. 123)
Unique sites:
Cs (0.0000, 0.0000, 0.0000) x1  8 Cl 3.33, 4 F 3.72
Co (0.5000, 0.5000, 0.5000) x1  2 F 2.04
Cl (0.0000, 0.5000, 0.5000) x2  2 Co 2.63
F (0.5000, 0.5000, 0.0000) x1  2 Co 2.04

energy = -3.750 eV/atom